The following is a DFT calculation (GGA-PBE) of a geometry-optimized CeGeAs2 structure.

Results
Space group: No. 62
Energy above the most stable polymorph in this dataset, kJ per mole of atoms: 13.4
Volume, Å³ per atom: 25.5

Cell lengths 4.192, 5.798, 16.760 Å; angles 90.00, 90.00, 90.00 degrees
Each line ends with the local moment (μB).
Fractional coordinates of all 16 atoms:
1 Ce 0.750 0.750 0.918  0.20
2 Ce 0.750 0.250 0.582  0.20
3 Ce 0.250 0.250 0.082  0.20
4 Ce 0.250 0.750 0.418  0.20
5 Ge 0.250 0.313 0.849  -0.01
6 Ge 0.750 0.187 0.349  -0.01
7 Ge 0.750 0.687 0.151  -0.01
8 Ge 0.250 0.813 0.651  -0.01
9 As 0.250 0.900 0.810  -0.02
10 As 0.750 0.600 0.310  -0.02
11 As 0.250 0.400 0.690  -0.02
12 As 0.750 0.100 0.190  -0.02
13 As 0.250 0.749 0.045  -0.01
14 As 0.250 0.249 0.455  -0.01
15 As 0.750 0.751 0.545  -0.01
16 As 0.750 0.251 0.955  -0.01